Run a
Compound: Na2Be2Cu
Source: Alexandria
Functional: GGA-PBE
Structure: optimized geometry

Lattice parameters (Å, degrees): 3.5415 3.5415 7.1532 75.67 75.67 90.00
Fractional positions:
1 Cu 0.0000 0.0000 0.0000
2 Na 0.7500 0.2500 0.5000
3 Be 0.5760 0.5760 0.8480
4 Be 0.4240 0.4240 0.1520
5 Na 0.2500 0.7500 0.5000

## Properties
As for the space group: I4/mmm (139).

=====

Run b
Compound: Na2Be2Cu
Source: Alexandria
Functional: GGA-PBE
Structure: optimized geometry

Lattice parameters (Å, degrees): 5.8476 5.8476 4.9425 90.00 90.00 90.00
Fractional positions:
1 Be 0.8636 0.6364 0.0000
2 Cu 0.0000 0.0000 0.0000
3 Be 0.6364 0.1364 0.0000
4 Be 0.3636 0.8636 0.0000
5 Cu 0.5000 0.5000 0.0000
6 Be 0.1364 0.3636 0.0000
7 Na 0.8166 0.3166 0.5000
8 Na 0.6834 0.8166 0.5000
9 Na 0.1834 0.6834 0.5000
10 Na 0.3166 0.1834 0.5000

## Properties
As for the space group: P4/mbm (127).

=====

Which of them is the least stable? Correct choice: run a.

=====

Run a
Compound: BeCuNi
Source: Alexandria
Functional: GGA-PBE
Structure: optimized geometry

Lattice parameters (Å, degrees): 3.7743 3.7743 2.4825 90.00 90.00 120.00
Fractional positions:
1 Ni 0.3333 0.6667 0.7172
2 Be 0.0000 0.0000 0.0058
3 Cu 0.6667 0.3333 0.2769

## Properties
As for the space group: P3m1 (156).

=====

Run b
Compound: BeCuNi
Source: Alexandria
Functional: GGA-PBE
Structure: optimized geometry

Lattice parameters (Å, degrees): 3.6126 3.6126 3.6126 60.00 60.00 60.00
Fractional positions:
1 Be 0.7500 0.7500 0.7500
2 Cu 0.0000 0.0000 0.0000
3 Ni 0.5000 0.5000 0.5000

## Properties
As for the space group: F-43m (216).

=====

Run c
Compound: BeCuNi
Source: Alexandria
Functional: GGA-PBE
Structure: optimized geometry

Lattice parameters (Å, degrees): 2.3813 6.9393 4.0422 90.02 90.00 99.88
Fractional positions:
1 Cu 0.0473 0.0946 0.7501
2 Cu 0.9527 0.9054 0.2499
3 Be 0.2203 0.4407 0.7502
4 Be 0.7797 0.5593 0.2498
5 Ni 0.8572 0.7145 0.7498
6 Ni 0.1428 0.2855 0.2502

## Properties
As for the space group: Cmcm (63).

=====

Which of them is the least stable? Correct choice: run c.

=====

Run a
Compound: BeCu2Ni2
Source: Alexandria
Functional: GGA-PBE
Structure: optimized geometry

Lattice parameters (Å, degrees): 5.4457 5.4457 3.8327 90.00 90.00 90.00
Fractional positions:
1 Ni 0.6462 0.1462 0.0000
2 Cu 0.1648 0.6648 0.5000
3 Be 0.5000 0.5000 0.0000
4 Cu 0.3352 0.1648 0.5000
5 Be 0.0000 0.0000 0.0000
6 Cu 0.6648 0.8352 0.5000
7 Ni 0.1462 0.3538 0.0000
8 Ni 0.8538 0.6462 0.0000
9 Cu 0.8352 0.3352 0.5000
10 Ni 0.3538 0.8538 0.0000

## Properties
As for the space group: P4/mbm (127).

=====

Run b
Compound: BeCu2Ni2
Source: Alexandria
Functional: GGA-PBE
Structure: optimized geometry

Lattice parameters (Å, degrees): 2.5717 2.5717 8.1212 99.11 99.11 90.00
Fractional positions:
1 Ni 0.4167 0.4167 0.8334
2 Be 0.0000 0.0000 0.0000
3 Cu 0.1937 0.1937 0.3874
4 Cu 0.8063 0.8063 0.6126
5 Ni 0.5833 0.5833 0.1666

## Properties
As for the space group: I4/mmm (139).

=====

Which of them is the least stable? Correct choice: run a.